# 1
CoSi4 (PBE-GGA, optimized geometry); DOS at the Fermi energy = 8.528 states/eV per cell; calculated total energy = -5.290 eV/atom; density = 3879 kg/m³; uncorrected formation energy = 0.469 eV/atom; space group = No. 139; calculated volume = 146.63 Å³ per cell
1.0
3.213 0.000 0.000
0.000 3.213 0.000
0.000 0.000 14.201
Co Si
2 8
Cartesian
0.000 0.000 0.000
1.607 1.607 7.101
0.000 0.000 5.862
0.000 0.000 8.339
0.000 1.607 3.550
0.000 1.607 10.651
1.607 0.000 3.550
1.607 0.000 10.651
1.607 1.607 1.238
1.607 1.607 12.963


# 2
Co3Si (PBE-GGA, optimized geometry); DOS at the Fermi energy = 2.874 states/eV per cell; calculated total energy = -6.921 eV/atom; density = 7863 kg/m³; uncorrected formation energy = -0.236 eV/atom; space group = No. 123; calculated volume = 43.27 Å³ per cell
1.0
2.671 0.000 0.000
0.000 2.671 0.000
0.000 0.000 6.066
Co Si
3 1
Cartesian
0.000 0.000 0.000
1.335 1.335 1.640
1.335 1.335 4.426
0.000 0.000 3.033


# 3
CoSi (PBE-GGA, optimized geometry); DOS at the Fermi energy = 9.952 states/eV per cell; calculated total energy = -6.507 eV/atom; density = 5876 kg/m³; uncorrected formation energy = -0.242 eV/atom; space group = No. 166; calculated volume = 147.54 Å³ per cell
1.0
3.769 0.000 0.000
-1.884 3.264 0.000
0.000 0.000 11.996
Co Si
6 6
Cartesian
0.000 0.000 2.435
0.000 0.000 9.561
0.000 2.176 5.562
0.000 2.176 10.433
1.884 1.088 1.563
1.884 1.088 6.434
0.000 0.000 4.714
0.000 0.000 7.282
0.000 2.176 0.716
0.000 2.176 3.283
1.884 1.088 8.713
1.884 1.088 11.280


# 4
Co3Si (PBE-GGA, optimized geometry); DOS at the Fermi energy = 4.532 states/eV per cell; calculated total energy = -6.894 eV/atom; density = 7921 kg/m³; uncorrected formation energy = -0.209 eV/atom; space group = No. 47; calculated volume = 42.95 Å³ per cell
1.0
2.578 0.000 0.000
0.000 3.332 0.000
0.000 0.000 5.000
Co Si
3 1
Cartesian
0.000 0.000 0.000
1.289 1.666 1.267
1.289 1.666 3.734
0.000 0.000 2.500


# 5
CoSi2 (PBE-GGA, optimized geometry); DOS at the Fermi energy = 6.150 states/eV per cell; calculated total energy = -5.995 eV/atom; density = 4973 kg/m³; uncorrected formation energy = -0.011 eV/atom; space group = No. 141; calculated volume = 153.74 Å³ per cell
1.0
-1.681 1.681 13.604
1.681 -1.681 13.604
1.681 1.681 -13.604
Co Si
4 8
Cartesian
1.681 0.840 0.988
1.681 0.840 5.814
0.000 0.840 7.790
0.000 0.840 12.616
1.681 -0.840 7.695
1.681 0.840 -2.818
1.681 -0.840 12.711
0.000 0.840 3.984
1.681 0.840 9.621
0.000 2.521 0.893
0.000 0.840 16.423
0.000 2.521 5.909


# 6
CoSi (PBE-GGA, optimized geometry); DOS at the Fermi energy = 2.796 states/eV per cell; calculated total energy = -6.200 eV/atom; density = 4201 kg/m³; uncorrected formation energy = 0.064 eV/atom; space group = No. 70; calculated volume = 137.60 Å³ per cell
1.0
0.000 4.669 6.218
2.370 0.000 6.218
2.370 4.669 0.000
Co Si
4 4
Cartesian
0.592 1.167 0.181
0.592 1.167 2.928
4.147 8.171 9.509
4.147 8.171 12.255
1.777 0.596 4.664
2.962 2.930 7.773
1.777 6.408 4.664
2.962 8.742 7.773